First-principles (PBE) data for a relaxed NdMo2H7 crystal, as listed in the Alexandria database. Values from VASP.

```
&SYSTEM
  ibrav = 0, nat = 10, ntyp = 3
/
ATOMIC_SPECIES
Nd 144.24 Nd.upf
Mo 95.94 Mo.upf
H 1.01 H.upf
ATOMIC_POSITIONS crystal
Nd 0.000 0.000 0.000
Mo 0.500 0.301 0.602
Mo 0.500 0.699 0.398
H 0.000 0.362 0.724
H 0.000 0.638 0.276
H 0.500 0.313 0.267
H 0.500 0.687 0.733
H 0.500 0.045 0.733
H 0.500 0.955 0.267
H 0.500 0.500 0.000
CELL_PARAMETERS angstrom
3.577 0.000 0.000
0.000 4.833 -2.637
0.000 -0.235 5.317
```

Properties
As for the space-group type: No. 65. The total energy is -5.037 eV per atom.